Entry 1:
Computed, not measured: a relaxed DyB2Pb2O6 crystal at the PBE level of DFT.

abc: 5.5823 5.5823 8.2152
angles: 116.33 116.33 56.99
Last column: nearest neighbours and their distance in Å.
Fractional coordinates of all 11 atoms:
Dy  0.0000  0.0000  0.0000  6 O 2.26-2.28
B  0.3891  0.3891  0.1886  3 O 1.39
B  0.6109  0.6109  0.8114  3 O 1.39
Pb  0.1742  0.1742  0.7007  2 O 2.43
Pb  0.8258  0.8258  0.2993  2 O 2.43
O  0.2242  0.6792  0.1763  1 B 1.39
O  0.2628  0.2628  0.2203  1 B 1.39
O  0.3208  0.7758  0.8237  1 B 1.39
O  0.6792  0.2242  0.1763  1 B 1.39
O  0.7372  0.7372  0.7797  1 B 1.39
O  0.7758  0.3208  0.8237  1 B 1.39

Computed properties:
Formation energy from raw total energies (eV per atom): -2.2004
Fermi-level density of states (states/eV per cell): 2.31
Total moment (μB per formula unit): 0.70
Space group: No. 12

---

Entry 2:
Computed, not measured: a relaxed PrDy3B4O12 crystal at the PBE level of DFT.

abc: 6.5434 6.5434 6.5434
angles: 102.33 102.33 102.33
Last column: nearest neighbours and their distance in Å.
Fractional coordinates of all 20 atoms:
Pr  0.0000  0.0000  0.0000  6 O 2.49
Dy  0.0000  0.5357  0.4643  6 O 2.26-2.29
Dy  0.4643  0.0000  0.5357  6 O 2.26-2.29
Dy  0.5357  0.4643  0.0000  6 O 2.26-2.29
B  0.0368  0.5000  0.9632  3 O 1.38-1.39
B  0.5000  0.5000  0.5000  3 O 1.38
B  0.5000  0.9632  0.0368  3 O 1.38-1.39
B  0.9632  0.0368  0.5000  3 O 1.38-1.39
O  0.0275  0.6334  0.8239  1 B 1.39
O  0.0987  0.9013  0.5000  1 B 1.38
O  0.1761  0.3666  0.9725  1 B 1.39
O  0.3645  0.6355  0.5000  1 B 1.38
O  0.3666  0.9725  0.1761  1 B 1.39
O  0.5000  0.0987  0.9013  1 B 1.38
O  0.5000  0.3645  0.6355  1 B 1.38
O  0.6334  0.8239  0.0275  1 B 1.39
O  0.6355  0.5000  0.3645  1 B 1.38
O  0.8239  0.0275  0.6334  1 B 1.39
O  0.9013  0.5000  0.0987  1 B 1.38
O  0.9725  0.1761  0.3666  1 B 1.39

Computed properties:
Formation energy from raw total energies (eV per atom): -3.0750
Fermi-level density of states (states/eV per cell): 0.00
Total moment (μB per formula unit): 0.00
Space group: No. 155

---

Entry 3:
Computed, not measured: a relaxed DyB2PtO8 crystal at the PBE level of DFT.

abc: 4.9242 4.9242 6.6076
angles: 90.00 90.00 120.00
Last column: nearest neighbours and their distance in Å.
Fractional coordinates of all 12 atoms:
Dy  0.0000  0.0000  0.0000  6 O 2.40
B  0.3333  0.6667  0.2412  4 O 1.45-1.47
B  0.6667  0.3333  0.7588  4 O 1.45-1.47
Pt  0.0000  0.0000  0.5000  6 O 1.99
O  0.1680  0.3360  0.2920  1 B 1.45
O  0.1680  0.8320  0.2920  1 B 1.45
O  0.3333  0.6667  0.0185  1 B 1.47
O  0.3360  0.1680  0.7080  1 B 1.45
O  0.6640  0.8320  0.2920  1 B 1.45
O  0.6667  0.3333  0.9815  1 B 1.47
O  0.8320  0.1680  0.7080  1 B 1.45
O  0.8320  0.6640  0.7080  1 B 1.45

Computed properties:
Formation energy from raw total energies (eV per atom): -1.5501
Fermi-level density of states (states/eV per cell): 7.46
Total moment (μB per formula unit): 3.03
Space group: No. 164